--- a ---
Compound: LiSbAu
Source: Alexandria
Functional: PBE
Structure: relaxed

Cell and atoms, written as CIF:
```
data_LiSbAu
_chemical_formula_sum 'Li1 Sb1 Au1'
_cell_length_a 4.6870
_cell_length_b 4.6870
_cell_length_c 3.3877
_cell_angle_alpha 90.00
_cell_angle_beta 90.00
_cell_angle_gamma 120.00
_space_group_name_H-M_alt 'P 3 m 1'
_space_group_IT_number 156
_space_group_name_Hall 'P 3 -2"'
loop_
_atom_site_label
_atom_site_type_symbol
_atom_site_fract_x
_atom_site_fract_y
_atom_site_fract_z
Li1 Li 0.0000 0.0000 0.0000
Sb1 Sb 0.3333 0.6667 0.5032
Au1 Au 0.6667 0.3333 0.5051
```

---

--- b ---
Compound: LiSbAu
Source: Alexandria
Functional: PBE
Structure: relaxed

Cell and atoms, written as CIF:
```
data_LiSbAu
_chemical_formula_sum 'Li2 Sb2 Au2'
_cell_length_a 3.8021
_cell_length_b 3.8021
_cell_length_c 8.2473
_cell_angle_alpha 90.00
_cell_angle_beta 90.00
_cell_angle_gamma 90.00
_space_group_name_H-M_alt 'I 4 m m'
_space_group_IT_number 107
_space_group_name_Hall 'I 4 -2'
loop_
_atom_site_label
_atom_site_type_symbol
_atom_site_fract_x
_atom_site_fract_y
_atom_site_fract_z
Li1 Li 0.0000 0.0000 0.0000
Sb1 Sb 0.0000 0.0000 0.3274
Au1 Au 0.0000 0.0000 0.6650
```

---

Which of them is least stable? Easy: b.